## AlCd2Os (PBE-GGA)

Data for a relaxed AlCd2Os crystal.

Geometry as POSCAR:
```
AlCd2Os
1.0
-4.4995 -3.8630 -7.6466
-1.7294 -4.0693 -8.6075
-2.8484 -6.1729 -6.8863
Os Al Cd
1 1 2
direct
0.2500 0.2500 0.2500
0.7500 0.7500 0.7500
0.9980 0.9980 0.9980
0.5020 0.5020 0.5020
```

Computed properties:
Crystal system: trigonal
E_form in eV/atom: 0.4410
SG: No. 166